Entry 1:
ZnHg4Pb: optimized geometry, GGA-PBE.

Computed properties:
crystal system	cubic
energy relative to the elements	192.3	meV per atom
mass density	11152	kg/m³
distance to the lowest polymorph of the same formula	0.533	eV/f.u.
VASP energy	-20.14	eV per cell

abc: 8.6189 8.6189 8.6189
angles: 90.00 90.00 90.00
Space group F-43m (No. 216)
One atom of each set of equivalent atoms:
Zn1 0.0000 0.0000 0.0000 x4
Hg1 0.1252 0.1252 0.6252 x16
Pb1 0.2500 0.2500 0.2500 x4

---

Entry 2:
LaTl2Zn: optimized geometry, GGA-PBE.

Computed properties:
crystal system	tetragonal
energy relative to the elements	-156.3	meV per atom
mass density	9306	kg/m³
VASP energy	-11.56	eV per cell

abc: 3.7972 3.7972 7.5873
angles: 90.00 90.00 90.00
Space group P4mm (No. 99)
One atom of each set of equivalent atoms:
La1 0.0000 0.0000 0.0000 x1
Tl1 0.0000 0.0000 0.5465 x1
Tl2 0.5000 0.5000 0.2869 x1
Zn1 0.5000 0.5000 0.7558 x1